Record 1
Computed, not measured: a relaxed structure of ScNiPb2 at the PBE level of DFT.

## Properties
The total DFT energy (no corrections) is -4.799 eV per atom. Its energy above the lowest structure with this stoichiometry is 230 meV per atom. The value obtained for the energy of formation is 0.0829 eV per atom. The calculation puts the mass density at 9.27 g/cm3.

Cell lengths 8.1230, 8.1230, 8.1230 Å; angles 26.32, 26.32, 26.32 degrees
Positions (direct):
1 Sc 0.0000 0.0000 0.0000
2 Ni 0.5000 0.5000 0.5000
3 Pb 0.2353 0.2353 0.2353
4 Pb 0.7647 0.7647 0.7647



Record 2
Computed, not measured: a relaxed structure of ScNiPb2 at the PBE level of DFT.

## Properties
The total DFT energy (no corrections) is -4.940 eV per atom. Its energy above the lowest structure with this stoichiometry is 90 meV per atom. The value obtained for the energy of formation is -0.0577 eV per atom. The calculation puts the mass density at 9.47 g/cm3.

Cell lengths 6.2040, 6.2040, 4.8553 Å; angles 110.91, 110.91, 31.57 degrees
Positions (direct):
1 Sc 0.0000 0.0000 0.0000
2 Ni 0.6812 0.6812 0.1521
3 Pb 0.1923 0.1923 0.6776
4 Pb 0.4055 0.4055 0.4094



Record 3
Computed, not measured: a relaxed structure of ScNi4Pb at the PBE level of DFT.

## Properties
The total DFT energy (no corrections) is -5.785 eV per atom. The value obtained for the energy of formation is -0.2576 eV per atom. The calculation puts the mass density at 9.46 g/cm3.

Cell lengths 4.9438, 4.9438, 4.9438 Å; angles 60.00, 60.00, 60.00 degrees
Positions (direct):
1 Sc 0.0000 0.0000 0.0000
2 Ni 0.1236 0.6255 0.6255
3 Ni 0.6255 0.1236 0.6255
4 Ni 0.6255 0.6255 0.1236
5 Ni 0.6255 0.6255 0.6255
6 Pb 0.2500 0.2500 0.2500



Record 4
Computed, not measured: a relaxed structure of ScNiPb2 at the PBE level of DFT.

## Properties
The total DFT energy (no corrections) is -4.685 eV per atom. Its energy above the lowest structure with this stoichiometry is 344 meV per atom. The value obtained for the energy of formation is 0.1970 eV per atom. The calculation puts the mass density at 8.81 g/cm3.

Cell lengths 10.2331, 10.2331, 10.2331 Å; angles 154.71, 154.71, 36.07 degrees
Positions (direct):
1 Sc 0.0000 0.0000 0.0000
2 Sc 0.7500 0.2500 0.5000
3 Ni 0.2500 0.7500 0.5000
4 Ni 0.5000 0.5000 0.0000
5 Pb 0.1461 0.6250 0.0211
6 Pb 0.3750 0.3961 0.5211
7 Pb 0.6039 0.1250 0.9789
8 Pb 0.8750 0.8539 0.4789



Record 5
Computed, not measured: a relaxed structure of ScNi3Pb at the PBE level of DFT.

## Properties
The total DFT energy (no corrections) is -4.720 eV per atom. Its energy above the lowest structure with this stoichiometry is 0 meV per atom. The value obtained for the energy of formation is 0.7564 eV per atom. The calculation puts the mass density at 7.39 g/cm3.

Cell lengths 4.5823, 4.5823, 4.5823 Å; angles 90.00, 90.00, 90.00 degrees
Positions (direct):
1 Sc 0.0000 0.0000 0.0000
2 Ni 0.0000 0.0000 0.5000
3 Ni 0.0000 0.5000 0.0000
4 Ni 0.5000 0.0000 0.0000
5 Pb 0.5000 0.5000 0.5000



Record 6
Computed, not measured: a relaxed structure of ScNiPb2 at the PBE level of DFT.

## Properties
The total DFT energy (no corrections) is -4.849 eV per atom. Its energy above the lowest structure with this stoichiometry is 181 meV per atom. The value obtained for the energy of formation is 0.0334 eV per atom. The calculation puts the mass density at 9.49 g/cm3.

Cell lengths 5.7283, 5.7283, 5.7283 Å; angles 145.06, 121.15, 70.30 degrees
Positions (direct):
1 Sc 0.0000 0.0000 0.0000
2 Ni 0.5000 0.5000 0.0000
3 Pb 0.2822 0.7822 0.5000
4 Pb 0.7178 0.2178 0.5000



Record 7
Computed, not measured: a relaxed structure of Sc2NiPb2 at the PBE level of DFT.

## Properties
The total DFT energy (no corrections) is -5.273 eV per atom. Its energy above the lowest structure with this stoichiometry is 84 meV per atom. The value obtained for the energy of formation is -0.1013 eV per atom. The calculation puts the mass density at 8.04 g/cm3.

Cell lengths 6.9007, 6.9007, 4.8863 Å; angles 90.00, 90.00, 90.00 degrees
Positions (direct):
1 Sc 0.1633 0.3367 0.0000
2 Sc 0.3367 0.8367 0.0000
3 Sc 0.6633 0.1633 0.0000
4 Sc 0.8367 0.6633 0.0000
5 Ni 0.0000 0.0000 0.0000
6 Ni 0.5000 0.5000 0.0000
7 Pb 0.1638 0.6638 0.5000
8 Pb 0.3362 0.1638 0.5000
9 Pb 0.6638 0.8362 0.5000
10 Pb 0.8362 0.3362 0.5000



Record 8
Computed, not measured: a relaxed structure of ScNi2Pb at the PBE level of DFT.

## Properties
The total DFT energy (no corrections) is -5.600 eV per atom. The value obtained for the energy of formation is -0.1991 eV per atom. The calculation puts the mass density at 8.95 g/cm3.

Cell lengths 3.2801, 3.3606, 6.2179 Å; angles 90.00, 90.09, 90.00 degrees
Positions (direct):
1 Sc 0.0000 0.0000 0.0000
2 Ni 0.5005 0.5000 0.2173
3 Ni 0.4995 0.5000 0.7827
4 Pb 0.0000 0.0000 0.5000



Record 9
Computed, not measured: a relaxed structure of ScNi2Pb at the PBE level of DFT.

## Properties
The total DFT energy (no corrections) is -5.445 eV per atom. The value obtained for the energy of formation is -0.0446 eV per atom. The calculation puts the mass density at 9.21 g/cm3.

Cell lengths 4.5502, 4.5502, 4.5502 Å; angles 60.00, 60.00, 60.00 degrees
Positions (direct):
1 Sc 0.0000 0.0000 0.0000
2 Ni 0.2500 0.2500 0.2500
3 Ni 0.5000 0.5000 0.5000
4 Pb 0.7500 0.7500 0.7500



Record 10
Computed, not measured: a relaxed structure of ScNiPb2 at the PBE level of DFT.

## Properties
The total DFT energy (no corrections) is -4.910 eV per atom. Its energy above the lowest structure with this stoichiometry is 119 meV per atom. The value obtained for the energy of formation is -0.0280 eV per atom. The calculation puts the mass density at 9.99 g/cm3.

Cell lengths 4.5654, 4.5654, 4.1332 Å; angles 90.33, 90.33, 89.97 degrees
Positions (direct):
1 Sc 0.0000 0.0000 0.0000
2 Ni 0.5000 0.5000 0.0000
3 Pb 0.0000 0.5000 0.5000
4 Pb 0.5000 0.0000 0.5000



Record 11
Computed, not measured: a relaxed structure of ScNi2Pb at the PBE level of DFT.

## Properties
The total DFT energy (no corrections) is -5.179 eV per atom. The value obtained for the energy of formation is 0.2217 eV per atom. The calculation puts the mass density at 8.08 g/cm3.

Cell lengths 9.1140, 9.1140, 9.1140 Å; angles 153.36, 153.36, 38.03 degrees
Positions (direct):
1 Sc 0.0000 0.0000 0.0000
2 Sc 0.7500 0.2500 0.5000
3 Ni 0.0840 0.6250 0.9590
4 Ni 0.3750 0.3340 0.4590
5 Ni 0.6660 0.1250 0.0410
6 Ni 0.8750 0.9160 0.5410
7 Pb 0.2500 0.7500 0.5000
8 Pb 0.5000 0.5000 0.0000



Record 12
Computed, not measured: a relaxed structure of ScNi2Pb at the PBE level of DFT.

## Properties
The total DFT energy (no corrections) is -5.302 eV per atom. The value obtained for the energy of formation is 0.0986 eV per atom. The calculation puts the mass density at 8.31 g/cm3.

Cell lengths 7.7253, 7.7253, 7.7253 Å; angles 25.25, 25.25, 25.25 degrees
Positions (direct):
1 Sc 0.0000 0.0000 0.0000
2 Ni 0.2533 0.2533 0.2533
3 Ni 0.7467 0.7467 0.7467
4 Pb 0.5000 0.5000 0.5000



Record 13
Computed, not measured: a relaxed structure of ScNi2Pb at the PBE level of DFT.

## Properties
The total DFT energy (no corrections) is -5.541 eV per atom. The value obtained for the energy of formation is -0.1400 eV per atom. The calculation puts the mass density at 9.18 g/cm3.

Cell lengths 5.1374, 5.1374, 5.1374 Å; angles 138.33, 131.13, 66.12 degrees
Positions (direct):
1 Sc 0.0000 0.0000 0.0000
2 Ni 0.2582 0.7582 0.5000
3 Ni 0.4823 0.4823 0.0000
4 Pb 0.7333 0.2333 0.5000



Record 14
Computed, not measured: a relaxed structure of Sc2NiPb2 at the PBE level of DFT.

## Properties
The total DFT energy (no corrections) is -4.642 eV per atom. Its energy above the lowest structure with this stoichiometry is 715 meV per atom. The value obtained for the energy of formation is 0.5298 eV per atom. The calculation puts the mass density at 7.70 g/cm3.

Cell lengths 8.3503, 8.3503, 8.3503 Å; angles 152.80, 152.80, 38.85 degrees
Positions (direct):
1 Sc 0.2500 0.7500 0.5000
2 Sc 0.7500 0.2500 0.5000
3 Ni 0.0000 0.0000 0.0000
4 Pb 0.4084 0.4084 0.0000
5 Pb 0.5916 0.5916 0.0000